Material: Tb3Tl2Se
Method: DFT, PBE-GGA
State: optimized geometry

abc: 3.860 3.860 26.221
angles: 90.00 90.00 120.00
Sites, in units of the cell vectors:
Tb  0.333  0.667  0.177
Tl  0.667  0.333  0.089
Tb  0.667  0.333  0.823
Tb  0.000  0.000  0.500
Tb  0.333  0.667  0.323
Tb  0.000  0.000  0.000
Tl  0.333  0.667  0.589
Tl  0.333  0.667  0.911
Se  0.000  0.000  0.750
Tl  0.667  0.333  0.411
Se  0.000  0.000  0.250
Tb  0.667  0.333  0.677

Values from the calculation:
As for the space group: P6_3/mmc (194). For the energy relative to the elements, uncorrected, the calculation gives -0.76 eV per atom. Its total magnetic moment is 0.0000 μB/atom. Its total energy is -0.3266 Ry/atom.